A plane-wave DFT calculation with GGA-PBEsol was carried out for an optimized crystal structure of Na3BeCl.

Summary:
Its formation energy without anion corrections is -68 meV/atom. Its total magnetization is 0.0 μB/f.u. As for the total energy: -10.5 eV per cell. The energy above the most stable polymorph in this dataset is 0.0 meV per atom. The calculation puts the density of states at the Fermi level at 3.73 states/eV per cell.

Unit cell a=5.218 b=5.218 c=5.218 alpha=90.00 beta=90.00 gamma=90.00
Sites, in units of the cell vectors:
Na (0.000, 0.000, 0.500)
Na (0.000, 0.500, 0.000)
Na (0.500, 0.000, 0.000)
Be (0.500, 0.500, 0.500)
Cl (0.000, 0.000, 0.000)